1.
DFT (GGA-PBE) results for a relaxed Re2IrPb crystal.

Computed properties:
- Fermi-level density of states: 26.06 states/eV per cell
- Energy relative to the elements: 36.43 kcal/mol of atoms
- V: 407.8 Å³ per cell
- E: -7.787 eV per atom

Structure (CIF):
```
data_Re2IrPb
_symmetry_space_group_name_H-M 'I -4 2 d'
_symmetry_Int_Tables_number 122
_symmetry_space_group_name_Hall 'I -4 2bw'
_cell_length_a 6.033
_cell_length_b 6.033
_cell_length_c 11.203
_cell_angle_alpha 90.00
_cell_angle_beta 90.00
_cell_angle_gamma 90.00
loop_
_atom_site_label
_atom_site_fract_x
_atom_site_fract_y
_atom_site_fract_z
Re1 0.204 0.250 0.125
Ir1 0.000 0.000 0.000
Pb1 0.000 0.000 0.500
```

=====

2.
DFT (GGA-PBE) results for a relaxed ReIrPb2 crystal.

Computed properties:
- Fermi-level density of states: 12.00 states/eV per cell
- Energy relative to the elements: 29.03 kcal/mol of atoms
- V: 356.1 Å³ per cell
- Polymorph energy (0 for the lowest one): 910 meV per atom
- E: -5.922 eV per atom

Structure (CIF):
```
data_ReIrPb2
_symmetry_space_group_name_H-M 'I -4 2 d'
_symmetry_Int_Tables_number 122
_symmetry_space_group_name_Hall 'I -4 2bw'
_cell_length_a 7.731
_cell_length_b 7.731
_cell_length_c 5.959
_cell_angle_alpha 90.00
_cell_angle_beta 90.00
_cell_angle_gamma 90.00
loop_
_atom_site_label
_atom_site_fract_x
_atom_site_fract_y
_atom_site_fract_z
Re1 0.000 0.000 0.000
Ir1 0.000 0.000 0.500
Pb1 0.233 0.250 0.625
```

=====

3.
DFT (GGA-PBE) results for a relaxed Re2IrPb crystal.

Computed properties:
- Fermi-level density of states: 5.47 states/eV per cell
- Energy relative to the elements: 20.97 kcal/mol of atoms
- V: 67.6 Å³ per cell
- E: -8.457 eV per atom

Structure (CIF):
```
data_Re2IrPb
_symmetry_space_group_name_H-M 'P 4/m m m'
_symmetry_Int_Tables_number 123
_symmetry_space_group_name_Hall '-P 4 2'
_cell_length_a 3.863
_cell_length_b 3.863
_cell_length_c 4.533
_cell_angle_alpha 90.00
_cell_angle_beta 90.00
_cell_angle_gamma 90.00
loop_
_atom_site_label
_atom_site_fract_x
_atom_site_fract_y
_atom_site_fract_z
Re1 0.000 0.500 0.000
Ir1 0.000 0.000 0.500
Pb1 0.500 0.500 0.500
```

=====

4.
DFT (GGA-PBE) results for a relaxed ReIrPb2 crystal.

Computed properties:
- Fermi-level density of states: 3.59 states/eV per cell
- Energy relative to the elements: 21.23 kcal/mol of atoms
- V: 76.9 Å³ per cell
- Polymorph energy (0 for the lowest one): 572 meV per atom
- E: -6.261 eV per atom

Structure (CIF):
```
data_ReIrPb2
_symmetry_space_group_name_H-M 'P 4/m m m'
_symmetry_Int_Tables_number 123
_symmetry_space_group_name_Hall '-P 4 2'
_cell_length_a 3.399
_cell_length_b 3.399
_cell_length_c 6.661
_cell_angle_alpha 90.00
_cell_angle_beta 90.00
_cell_angle_gamma 90.00
loop_
_atom_site_label
_atom_site_fract_x
_atom_site_fract_y
_atom_site_fract_z
Re1 0.000 0.000 0.000
Ir1 0.000 0.000 0.500
Pb1 0.500 0.500 0.247
```

=====

5.
DFT (GGA-PBE) results for a relaxed ReIr2Pb crystal.

Computed properties:
- Fermi-level density of states: 5.11 states/eV per cell
- Energy relative to the elements: 16.59 kcal/mol of atoms
- V: 67.1 Å³ per cell
- E: -7.750 eV per atom

Structure (CIF):
```
data_ReIr2Pb
_symmetry_space_group_name_H-M 'P 4/m m m'
_symmetry_Int_Tables_number 123
_symmetry_space_group_name_Hall '-P 4 2'
_cell_length_a 4.094
_cell_length_b 4.094
_cell_length_c 4.005
_cell_angle_alpha 90.00
_cell_angle_beta 90.00
_cell_angle_gamma 90.00
loop_
_atom_site_label
_atom_site_fract_x
_atom_site_fract_y
_atom_site_fract_z
Re1 0.000 0.000 0.000
Ir1 0.000 0.500 0.500
Pb1 0.500 0.500 0.000
```

=====

6.
DFT (GGA-PBE) results for a relaxed ReIr2Pb crystal.

Computed properties:
- Fermi-level density of states: 8.09 states/eV per cell
- Energy relative to the elements: 13.39 kcal/mol of atoms
- V: 132.4 Å³ per cell
- E: -7.889 eV per atom

Structure (CIF):
```
data_ReIr2Pb
_symmetry_space_group_name_H-M 'I 4/m m m'
_symmetry_Int_Tables_number 139
_symmetry_space_group_name_Hall '-I 4 2'
_cell_length_a 4.075
_cell_length_b 4.075
_cell_length_c 7.971
_cell_angle_alpha 90.00
_cell_angle_beta 90.00
_cell_angle_gamma 90.00
loop_
_atom_site_label
_atom_site_fract_x
_atom_site_fract_y
_atom_site_fract_z
Re1 0.000 0.000 0.000
Ir1 0.000 0.500 0.250
Pb1 0.000 0.000 0.500
```

=====

7.
DFT (GGA-PBE) results for a relaxed ReIr2Pb crystal.

Computed properties:
- Fermi-level density of states: 8.58 states/eV per cell
- Energy relative to the elements: 13.06 kcal/mol of atoms
- V: 134.9 Å³ per cell
- E: -7.903 eV per atom

Structure (CIF):
```
data_ReIr2Pb
_symmetry_space_group_name_H-M 'C 1 2/m 1'
_symmetry_Int_Tables_number 12
_symmetry_space_group_name_Hall '-C 2y'
_cell_length_a 9.273
_cell_length_b 2.936
_cell_length_c 5.006
_cell_angle_alpha 90.00
_cell_angle_beta 98.18
_cell_angle_gamma 90.00
loop_
_atom_site_label
_atom_site_fract_x
_atom_site_fract_y
_atom_site_fract_z
Re1 0.000 0.000 0.000
Ir1 0.242 0.500 0.222
Pb1 0.000 0.500 0.500
```

=====

8.
DFT (GGA-PBE) results for a relaxed Re2IrPb crystal.

Computed properties:
- Fermi-level density of states: 9.72 states/eV per cell
- Energy relative to the elements: 17.77 kcal/mol of atoms
- V: 133.1 Å³ per cell
- E: -8.596 eV per atom

Structure (CIF):
```
data_Re2IrPb
_symmetry_space_group_name_H-M 'I -4 m 2'
_symmetry_Int_Tables_number 119
_symmetry_space_group_name_Hall 'I -4 -2'
_cell_length_a 4.100
_cell_length_b 4.100
_cell_length_c 7.918
_cell_angle_alpha 90.00
_cell_angle_beta 90.00
_cell_angle_gamma 90.00
loop_
_atom_site_label
_atom_site_fract_x
_atom_site_fract_y
_atom_site_fract_z
Re1 0.000 0.000 0.000
Re2 0.000 0.500 0.250
Ir1 0.000 0.500 0.750
Pb1 0.000 0.000 0.500
```

=====

9.
DFT (GGA-PBE) results for a relaxed ReIr2Pb crystal.

Computed properties:
- Fermi-level density of states: 5.28 states/eV per cell
- Energy relative to the elements: 10.88 kcal/mol of atoms
- V: 136.9 Å³ per cell
- E: -7.998 eV per atom

Structure (CIF):
```
data_ReIr2Pb
_symmetry_space_group_name_H-M 'C 1 m 1'
_symmetry_Int_Tables_number 8
_symmetry_space_group_name_Hall 'C -2y'
_cell_length_a 9.153
_cell_length_b 2.925
_cell_length_c 5.173
_cell_angle_alpha 90.00
_cell_angle_beta 98.78
_cell_angle_gamma 90.00
loop_
_atom_site_label
_atom_site_fract_x
_atom_site_fract_y
_atom_site_fract_z
Re1 0.000 0.000 0.000
Ir1 0.237 0.500 0.166
Ir2 0.481 0.000 0.424
Pb1 0.238 0.000 0.676
```

=====

10.
DFT (GGA-PBE) results for a relaxed Re2IrPb crystal.

Computed properties:
- Fermi-level density of states: 4.54 states/eV per cell
- Energy relative to the elements: 20.34 kcal/mol of atoms
- V: 67.9 Å³ per cell
- E: -8.484 eV per atom

Structure (CIF):
```
data_Re2IrPb
_symmetry_space_group_name_H-M 'P m m m'
_symmetry_Int_Tables_number 47
_symmetry_space_group_name_Hall '-P 2 2'
_cell_length_a 2.952
_cell_length_b 4.731
_cell_length_c 4.861
_cell_angle_alpha 90.00
_cell_angle_beta 90.00
_cell_angle_gamma 90.00
loop_
_atom_site_label
_atom_site_fract_x
_atom_site_fract_y
_atom_site_fract_z
Re1 0.000 0.000 0.000
Re2 0.500 0.500 0.000
Ir1 0.000 0.500 0.500
Pb1 0.500 0.000 0.500
```

=====

11.
DFT (GGA-PBE) results for a relaxed ReIr2Pb crystal.

Computed properties:
- Fermi-level density of states: 3.26 states/eV per cell
- Energy relative to the elements: 15.38 kcal/mol of atoms
- V: 68.0 Å³ per cell
- E: -7.803 eV per atom

Structure (CIF):
```
data_ReIr2Pb
_symmetry_space_group_name_H-M 'P 4/m m m'
_symmetry_Int_Tables_number 123
_symmetry_space_group_name_Hall '-P 4 2'
_cell_length_a 4.880
_cell_length_b 4.880
_cell_length_c 2.854
_cell_angle_alpha 90.00
_cell_angle_beta 90.00
_cell_angle_gamma 90.00
loop_
_atom_site_label
_atom_site_fract_x
_atom_site_fract_y
_atom_site_fract_z
Re1 0.000 0.000 0.000
Ir1 0.000 0.500 0.500
Pb1 0.500 0.500 0.000
```

=====

12.
DFT (GGA-PBE) results for a relaxed Re2IrPb crystal.

Computed properties:
- Fermi-level density of states: 4.92 states/eV per cell
- Energy relative to the elements: 18.39 kcal/mol of atoms
- V: 67.8 Å³ per cell
- E: -8.569 eV per atom

Structure (CIF):
```
data_Re2IrPb
_symmetry_space_group_name_H-M 'P 4/m m m'
_symmetry_Int_Tables_number 123
_symmetry_space_group_name_Hall '-P 4 2'
_cell_length_a 2.893
_cell_length_b 2.893
_cell_length_c 8.103
_cell_angle_alpha 90.00
_cell_angle_beta 90.00
_cell_angle_gamma 90.00
loop_
_atom_site_label
_atom_site_fract_x
_atom_site_fract_y
_atom_site_fract_z
Re1 0.000 0.000 0.226
Ir1 0.500 0.500 0.000
Pb1 0.500 0.500 0.500
```